No. 1
VASP calculation (GGA-PBE) on an optimized crystal structure of TaAgI2O.

Cell: 5.6860 5.6860 3.8897 Å, 90.00 90.00 90.00°
Space group P4/mmm (No. 123)
Unique sites:
Ta (0.0000, 0.0000, 0.0000) [1 per cell]
Ag (0.5000, 0.5000, 0.5000) [1 per cell]
I (0.0000, 0.5000, 0.5000) [2 per cell]
O (0.5000, 0.5000, 0.0000) [1 per cell]

Summary:
Raw formation energy ... 945 meV per atom
Density of states at the Fermi level ... 1.259 states/eV per atom

=====

No. 2
VASP calculation (GGA-PBE) on an optimized crystal structure of TaAgIO2.

Cell: 3.9829 3.9829 6.1498 Å, 90.00 90.00 90.00°
Space group P4/mmm (No. 123)
Unique sites:
Ta (0.0000, 0.0000, 0.0000) [1 per cell]
Ag (0.5000, 0.5000, 0.5000) [1 per cell]
I (0.0000, 0.0000, 0.5000) [1 per cell]
O (0.0000, 0.5000, 0.0000) [2 per cell]

Summary:
Raw formation energy ... -1244 meV per atom
Density of states at the Fermi level ... 0.222 states/eV per atom

=====

No. 3
VASP calculation (GGA-PBE) on an optimized crystal structure of TaAgIO5.

Cell: 8.1877 9.7385 6.5123 Å, 90.00 116.59 90.00°
Space group C2/c (No. 15)
Unique sites:
Ta (0.2500, 0.2500, 0.0000) [4 per cell]
Ag (0.0000, 0.0715, 0.2500) [4 per cell]
I (0.0000, 0.4445, 0.2500) [4 per cell]
O (0.0000, 0.2573, 0.7500) [4 per cell]
O (0.1517, 0.2921, 0.2329) [8 per cell]
O (0.2329, 0.0499, 0.0537) [8 per cell]

Summary:
Raw formation energy ... -1211 meV per atom
Density of states at the Fermi level ... 0.222 states/eV per atom

=====

No. 4
VASP calculation (GGA-PBE) on an optimized crystal structure of TaAgI2O.

Cell: 5.7894 5.7894 3.8929 Å, 90.00 90.00 90.00°
Space group P4/mmm (No. 123)
Unique sites:
Ta (0.0000, 0.0000, 0.0000) [1 per cell]
Ag (0.5000, 0.5000, 0.5000) [1 per cell]
I (0.0000, 0.5000, 0.0000) [2 per cell]
O (0.0000, 0.0000, 0.5000) [1 per cell]

Summary:
Raw formation energy ... -491 meV per atom
Density of states at the Fermi level ... 0.287 states/eV per atom

=====

No. 5
VASP calculation (GGA-PBE) on an optimized crystal structure of TaAgIO2.

Cell: 4.1611 4.1611 5.3660 Å, 90.00 90.00 90.00°
Space group P4/mmm (No. 123)
Unique sites:
Ta (0.0000, 0.0000, 0.0000) [1 per cell]
Ag (0.5000, 0.5000, 0.5000) [1 per cell]
I (0.5000, 0.5000, 0.0000) [1 per cell]
O (0.0000, 0.5000, 0.5000) [2 per cell]

Summary:
Raw formation energy ... 1005 meV per atom
Density of states at the Fermi level ... 0.858 states/eV per atom

=====

No. 6
VASP calculation (GGA-PBE) on an optimized crystal structure of TbAg2IO6.

Cell: 5.7177 5.7177 14.3498 Å, 90.00 90.00 120.00°
Space group R-3 (No. 148, hexagonal axes)
Unique sites:
Tb (0.0000, 0.0000, 0.0000) [3 per cell]
Ag (0.0000, 0.0000, 0.2495) [6 per cell]
I (0.0000, 0.0000, 0.5000) [3 per cell]
O (0.0348, 0.4279, 0.2435) [18 per cell]

Summary:
Raw formation energy ... -1051 meV per atom

=====

No. 7
VASP calculation (GGA-PBE) on an optimized crystal structure of TcAgIO2.

Cell: 3.8962 3.8962 6.0081 Å, 90.00 90.00 90.00°
Space group P4/mmm (No. 123)
Unique sites:
Tc (0.0000, 0.0000, 0.0000) [1 per cell]
Ag (0.5000, 0.5000, 0.5000) [1 per cell]
I (0.0000, 0.0000, 0.5000) [1 per cell]
O (0.0000, 0.5000, 0.0000) [2 per cell]

Summary:
Raw formation energy ... -529 meV per atom
Density of states at the Fermi level ... 0.549 states/eV per atom

=====

No. 8
VASP calculation (GGA-PBE) on an optimized crystal structure of TcAgIO2.

Cell: 4.0749 4.0749 6.0858 Å, 90.00 90.00 90.00°
Space group P4/mmm (No. 123)
Unique sites:
Tc (0.0000, 0.0000, 0.0000) [1 per cell]
Ag (0.5000, 0.5000, 0.5000) [1 per cell]
I (0.5000, 0.5000, 0.0000) [1 per cell]
O (0.0000, 0.5000, 0.5000) [2 per cell]

Summary:
Raw formation energy ... 952 meV per atom
Density of states at the Fermi level ... 0.678 states/eV per atom

=====

No. 9
VASP calculation (GGA-PBE) on an optimized crystal structure of AgTeIO2.

Cell: 4.1083 4.1083 6.8575 Å, 90.00 90.00 90.00°
Space group P4/mmm (No. 123)
Unique sites:
Ag (0.0000, 0.0000, 0.0000) [1 per cell]
Te (0.5000, 0.5000, 0.5000) [1 per cell]
I (0.5000, 0.5000, 0.0000) [1 per cell]
O (0.0000, 0.5000, 0.5000) [2 per cell]

Summary:
Raw formation energy ... -306 meV per atom
Density of states at the Fermi level ... 0.112 states/eV per atom

=====

No. 10
VASP calculation (GGA-PBE) on an optimized crystal structure of AgTe2IO.

Cell: 5.4298 5.4298 5.4866 Å, 90.00 90.00 90.00°
Space group P4/mmm (No. 123)
Unique sites:
Ag (0.0000, 0.0000, 0.0000) [1 per cell]
Te (0.0000, 0.5000, 0.0000) [2 per cell]
I (0.0000, 0.0000, 0.5000) [1 per cell]
O (0.5000, 0.5000, 0.5000) [1 per cell]

Summary:
Raw formation energy ... 1078 meV per atom
Density of states at the Fermi level ... 2.682 states/eV per atom

=====

No. 11
VASP calculation (GGA-PBE) on an optimized crystal structure of AgTe2IO.

Cell: 4.4404 4.4404 8.0626 Å, 90.00 90.00 90.00°
Space group P4/mmm (No. 123)
Unique sites:
Ag (0.0000, 0.0000, 0.0000) [1 per cell]
Te (0.0000, 0.5000, 0.5000) [2 per cell]
I (0.5000, 0.5000, 0.0000) [1 per cell]
O (0.5000, 0.5000, 0.5000) [1 per cell]

Summary:
Raw formation energy ... 129 meV per atom
Density of states at the Fermi level ... 0.927 states/eV per atom

=====

No. 12
VASP calculation (GGA-PBE) on an optimized crystal structure of AgTeIO2.

Cell: 4.3196 4.3196 5.4353 Å, 90.00 90.00 90.00°
Space group P4/mmm (No. 123)
Unique sites:
Ag (0.0000, 0.0000, 0.0000) [1 per cell]
Te (0.5000, 0.5000, 0.5000) [1 per cell]
I (0.0000, 0.0000, 0.5000) [1 per cell]
O (0.0000, 0.5000, 0.0000) [2 per cell]

Summary:
Raw formation energy ... 655 meV per atom
Density of states at the Fermi level ... 1.046 states/eV per atom

=====

These records have calculated volume values of 125.8, 97.6, 464.3, 130.5, 92.9, 406.3, 91.2, 101.1, 115.7, 161.8, 159.0, 101.4 Å³/cell, in the order they appear.